Below is Tb7NdEr5 after structural relaxation, with properties calculated at the PBE level.

Properties
- offset from the most stable computed form (meV/atom) = 3
- ΔE_f (eV/f.u.) = 3.2
- SG = No. 44
- VASP energy (eV per cell) = -56.78
- DOS(E_F) (states/eV/f.u.) = 25.401

The structure in CIF format:
```
data_Tb7NdEr5
_chemical_formula_sum 'Tb7 Nd1 Er5'
_space_group_name_H-M_alt 'P 1'
_space_group_IT_number 1
_cell_length_a 8.6861
_cell_length_b 8.6861
_cell_length_c 8.6861
_cell_angle_alpha 134.92
_cell_angle_beta 100.07
_cell_angle_gamma 96.84
loop_
_space_group_symop_operation_xyz
'x,y,z'
loop_
_atom_site_label
_atom_site_type_symbol
_atom_site_fract_x
_atom_site_fract_y
_atom_site_fract_z
Tb1 Tb 0.0000 0.0000 0.0000
Tb2 Tb 0.0764 0.7494 0.3270
Tb3 Tb 0.3064 0.3064 0.0000
Tb4 Tb 0.4223 0.7494 0.6730
Tb5 Tb 0.4962 0.9962 0.5000
Tb6 Tb 0.5805 0.2512 0.3293
Tb7 Tb 0.9219 0.2512 0.6707
Nd1 Nd 0.6974 0.6974 0.0000
Er1 Er 0.0026 0.5026 0.5000
Er2 Er 0.2693 0.2645 0.5345
Er3 Er 0.2693 0.7347 0.0048
Er4 Er 0.7299 0.2645 0.9952
Er5 Er 0.7299 0.7347 0.4655
```